HoTl2WO6 | Alexandria | PBE+U | relaxed; symmetry = P2_1/c, No. 14; total energy = -130.98 eV/cell
1.0
-0.362 -1.414 5.757
5.257 -2.734 -0.341
3.860 7.175 1.994
O Tl W Ho
12 4 2 2
direct
0.753 0.284 0.977
0.045 0.497 0.768
0.545 0.003 0.268
0.285 0.751 0.477
0.955 0.503 0.232
0.785 0.749 0.977
0.215 0.251 0.023
0.715 0.249 0.523
0.247 0.716 0.023
0.455 0.997 0.732
0.747 0.784 0.523
0.253 0.216 0.477
0.498 0.494 0.250
0.502 0.506 0.750
0.998 0.006 0.750
0.002 0.994 0.250
0.500 0.000 0.500
0.000 0.500 0.000
0.000 0.500 0.500
0.500 0.000 0.000